V2TeO | GGA+U | optimized geometry

abc: 5.398 5.398 11.363
angles: 90.00 90.00 90.00
Space group I-42d (No. 122)
One atom of each set of equivalent atoms:
1 V 0.125 0.250 0.125 x8
2 Te 0.000 0.000 0.500 x4
3 O 0.000 0.000 0.000 x4

Values from the calculation:
Crystal system   tetragonal
Total energy   -0.465 Ry/atom